No. 1
# FeCo2W

A relaxed FeCo2W crystal (PBE-GGA, the Alexandria database).

abc: 4.4822 4.4822 4.4106
angles: 79.52 79.52 34.36
Closest atoms and distances in Å follow each position.
Positions (direct):
W 0.2535 0.2535 0.2383  7 Co 2.53-2.60, 3 Fe 2.59-2.69, 2 W 2.65
Co 0.7462 0.7462 0.7447  5 Co 2.50-2.68, 3 Fe 2.52-2.55, 4 W 2.56-2.59
Co 0.0081 0.0081 0.9956  4 Fe 2.50-2.65, 5 Co 2.50-2.68, 3 W 2.53-2.60
Fe 0.4922 0.4922 0.5214  7 Co 2.50-2.65, 3 W 2.59-2.69, 2 Fe 2.65

## Properties
- Density of states at the Fermi level: 4.65 states/eV/f.u.
- Calculated formation energy: 0.11 eV per atom

---

No. 2
# FeCo4W

A relaxed FeCo4W crystal (PBE-GGA, the Alexandria database).

abc: 4.0011 4.0011 4.9957
angles: 90.01 90.01 120.00
Closest atoms and distances in Å follow each position.
Positions (direct):
Co 0.3331 0.1665 0.7601  4 Co 2.31-2.40
Co 0.6665 0.8331 0.7601  4 Co 2.31-2.40
Co 0.6669 0.8335 0.2399  4 Co 2.31-2.40
W 0.0000 0.5000 0.5000  2 Fe 2.50, 12 Co 2.65
Fe 0.0000 0.5000 0.0000  2 W 2.50, 12 Co 2.60
Co 0.3335 0.1669 0.2399  4 Co 2.31-2.40

## Properties
- Energy relative to the lowest polymorph listed for this composition: 0.0395 eV per atom
- Density of states at the Fermi level: 6.82 states/eV/f.u.
- Calculated formation energy: 0.11 eV per atom

---

No. 3
# FeCo2W2

A relaxed FeCo2W2 crystal (PBE-GGA, the Alexandria database).

abc: 3.0684 3.0684 7.5503
angles: 78.28 78.28 90.00
Closest atoms and distances in Å follow each position.
Positions (direct):
Co 0.7500 0.2500 0.5000  4 Co 2.17
W 0.6061 0.6061 0.7877  4 Co 2.59, 4 Fe 2.66
Fe 0.0000 0.0000 0.0000  8 W 2.66
Co 0.2500 0.7500 0.5000  4 Co 2.17
W 0.3939 0.3939 0.2123  4 Co 2.59, 4 Fe 2.66

## Properties
- Energy relative to the lowest polymorph listed for this composition: 0.3279 eV per atom
- Density of states at the Fermi level: 6.74 states/eV/f.u.
- Calculated formation energy: 0.57 eV per atom

---

No. 4
# FeCo4W

A relaxed FeCo4W crystal (PBE-GGA, the Alexandria database).

abc: 4.6271 4.6271 4.6271
angles: 60.00 60.00 60.00
Closest atoms and distances in Å follow each position.
Positions (direct):
Co 0.3754 0.8737 0.3754  6 Co 2.31-2.32
Co 0.8737 0.3754 0.3754  6 Co 2.31-2.32
W 0.0000 0.0000 0.0000  12 Co 2.71, 4 Fe 2.83
Co 0.3754 0.3754 0.3754  6 Co 2.31-2.32
Fe 0.7500 0.7500 0.7500  12 Co 2.71, 4 W 2.83
Co 0.3754 0.3754 0.8737  6 Co 2.31-2.32

## Properties
- Energy relative to the lowest polymorph listed for this composition: 0.0000 eV per atom
- Density of states at the Fermi level: 8.38 states/eV/f.u.
- Calculated formation energy: 0.07 eV per atom

---

No. 5
# FeCo2W

A relaxed FeCo2W crystal (PBE-GGA, the Alexandria database).

abc: 8.5502 8.5502 8.5502
angles: 17.73 17.73 17.73
Closest atoms and distances in Å follow each position.
Positions (direct):
Co 0.2504 0.2504 0.2504  9 Co 2.48-2.64, 3 Fe 2.49
W 0.7491 0.7491 0.7491  6 W 2.64, 3 Co 2.68, 3 Fe 2.73
Fe 0.5057 0.5057 0.5057  3 Co 2.49, 6 Fe 2.64, 3 W 2.73
Co 0.9948 0.9948 0.9948  9 Co 2.48-2.64, 3 W 2.68

## Properties
- Density of states at the Fermi level: 4.86 states/eV/f.u.
- Calculated formation energy: 0.25 eV per atom

---

No. 6
# FeCo2W

A relaxed FeCo2W crystal (PBE-GGA, the Alexandria database).

abc: 3.5456 2.6302 5.8113
angles: 63.09 90.00 90.00
Closest atoms and distances in Å follow each position.
Positions (direct):
W 0.5000 0.7500 0.7500  2 Fe 2.59, 8 Co 2.59, 2 W 2.63
Co 0.0000 0.5124 0.4880  4 Co 2.47-2.72, 4 Fe 2.53, 4 W 2.59
Fe 0.5000 0.2500 0.2500  8 Co 2.53, 2 W 2.59, 2 Fe 2.63
Co 0.0000 0.9876 0.0120  4 Co 2.47-2.72, 4 Fe 2.53, 4 W 2.59

## Properties
- Density of states at the Fermi level: 3.68 states/eV/f.u.
- Calculated formation energy: 0.05 eV per atom